Computed, not measured: Ru2PtRh8 after structural relaxation at the PBE-GGA level of DFT.

Properties
* ΔH_f (0 K): 0.18 eV/atom
* final energy: -0.544 Ry/atom
* space-group type: No. 71
* distance to the lowest polymorph of the same formula: 0 meV/atom
* density of states at the Fermi level: 1.24 states/eV/atom

POSCAR file:
```
Ru2PtRh8
1.0
-1.943 3.639 5.824
1.943 -3.639 5.824
1.943 3.639 -5.824
Ru Pt Rh
2 1 8
Direct
0.186 0.186 0.000
0.814 0.814 0.000
0.500 0.500 0.000
0.073 0.340 0.733
0.204 0.000 0.204
0.336 0.836 0.500
0.393 0.660 0.733
0.607 0.340 0.267
0.664 0.164 0.500
0.796 0.000 0.796
0.927 0.660 0.267
```